# 1
Density functional theory data (meta-GGA SCAN) for a crystal of Sc2BeSi relaxed with PBEsol.

Calculated values
Uncorrected formation energy, eV per atom: -0.5340

Cell and atoms, written as CIF:
```
data_Sc2BeSi
_space_group_name_H-M_alt 'A m m 2'
_space_group_IT_number 38
_cell_length_a 3.680
_cell_length_b 3.795
_cell_length_c 9.836
_cell_angle_alpha 90.00
_cell_angle_beta 90.00
_cell_angle_gamma 90.00
loop_
_space_group_symop_operation_xyz
'x,y,z'
'-x,-y,z'
'-x,y,z'
'x,-y,z'
'x,y+1/2,z+1/2'
'-x,-y+1/2,z+1/2'
'-x,y+1/2,z+1/2'
'x,-y+1/2,z+1/2'
loop_
_atom_site_label
_atom_site_type_symbol
_atom_site_fract_x
_atom_site_fract_y
_atom_site_fract_z
Sc1 Sc 0.000 0.000 0.000
Sc2 Sc 0.500 0.000 0.286
Be1 Be 0.500 0.000 0.577
Si1 Si 0.000 0.000 0.710
```

---

# 2
Density functional theory data (meta-GGA SCAN) for a crystal of RbBaGe3 relaxed with PBEsol.

Calculated values
Energy of formation from the pure elements, eV per atom: 0.90

Cell and atoms, written as CIF:
```
data_RbBaGe3
_space_group_name_H-M_alt 'P m -3 m'
_space_group_IT_number 221
_space_group_name_Hall '-P 4 2 3'
_cell_length_a 5.874
_cell_length_b 5.874
_cell_length_c 5.874
_cell_angle_alpha 90.00
_cell_angle_beta 90.00
_cell_angle_gamma 90.00
loop_
_atom_site_label
_atom_site_type_symbol
_atom_site_fract_x
_atom_site_fract_y
_atom_site_fract_z
Rb1 Rb 0.000 0.000 0.000
Ba1 Ba 0.500 0.500 0.500
Ge1 Ge 0.000 0.500 0.500
```

---

# 3
Density functional theory data (meta-GGA SCAN) for a crystal of ScCr2Mo relaxed with PBEsol.

Calculated values
Energy of formation from the pure elements, eV per atom: 0.15

Cell and atoms, written as CIF:
```
data_ScCr2Mo
_space_group_name_H-M_alt 'F m -3 m'
_space_group_IT_number 225
_space_group_name_Hall '-F 4 2 3'
_cell_length_a 6.137
_cell_length_b 6.137
_cell_length_c 6.137
_cell_angle_alpha 90.00
_cell_angle_beta 90.00
_cell_angle_gamma 90.00
loop_
_atom_site_label
_atom_site_type_symbol
_atom_site_fract_x
_atom_site_fract_y
_atom_site_fract_z
Sc1 Sc 0.000 0.000 0.000
Cr1 Cr 0.250 0.250 0.250
Mo1 Mo 0.000 0.000 0.500
```

---

# 4
Density functional theory data (meta-GGA SCAN) for a crystal of Sr5Zn relaxed with PBEsol.

Calculated values
Energy of formation from the pure elements, eV per atom: -0.03

Cell and atoms, written as CIF:
```
data_Sr5Zn
_space_group_name_H-M_alt 'C 1 2/m 1'
_space_group_IT_number 12
_cell_length_a 14.041
_cell_length_b 4.065
_cell_length_c 9.988
_cell_angle_alpha 90.00
_cell_angle_beta 112.97
_cell_angle_gamma 90.00
loop_
_space_group_symop_operation_xyz
'x,y,z'
'-x,-y,-z'
'-x,y,-z'
'x,-y,z'
'x+1/2,y+1/2,z'
'-x+1/2,-y+1/2,-z'
'-x+1/2,y+1/2,-z'
'x+1/2,-y+1/2,z'
loop_
_atom_site_label
_atom_site_type_symbol
_atom_site_fract_x
_atom_site_fract_y
_atom_site_fract_z
Sr1 Sr 0.000 0.000 0.000
Sr2 Sr 0.126 0.500 0.374
Sr3 Sr 0.170 0.500 0.782
Zn1 Zn 0.000 0.000 0.500
```

---

# 5
Density functional theory data (meta-GGA SCAN) for a crystal of BaGa2Au2 relaxed with PBEsol.

Calculated values
Energy of formation from the pure elements, eV per atom: -0.71

Cell and atoms, written as CIF:
```
data_BaGa2Au2
_space_group_name_H-M_alt 'I 4/m m m'
_space_group_IT_number 139
_space_group_name_Hall '-I 4 2'
_cell_length_a 4.538
_cell_length_b 4.538
_cell_length_c 10.907
_cell_angle_alpha 90.00
_cell_angle_beta 90.00
_cell_angle_gamma 90.00
loop_
_atom_site_label
_atom_site_type_symbol
_atom_site_fract_x
_atom_site_fract_y
_atom_site_fract_z
Ba1 Ba 0.000 0.000 0.000
Ga1 Ga 0.000 0.500 0.250
Au1 Au 0.000 0.000 0.370
```

---

# 6
Density functional theory data (meta-GGA SCAN) for a crystal of Li2B2H9N relaxed with PBEsol.

Calculated values
Total DFT energy (no corrections), eV/cell: -528.67

Cell and atoms, written as CIF:
```
data_Li2B2H9N
_space_group_name_H-M_alt 'P b c a'
_space_group_IT_number 61
_cell_length_a 7.225
_cell_length_b 9.112
_cell_length_c 13.625
_cell_angle_alpha 90.00
_cell_angle_beta 90.00
_cell_angle_gamma 90.00
loop_
_space_group_symop_operation_xyz
'x,y,z'
'-x,-y,-z'
'-x+1/2,-y,z+1/2'
'x+1/2,y,-z+1/2'
'x+1/2,-y+1/2,-z'
'-x+1/2,y+1/2,z'
'-x,y+1/2,-z+1/2'
'x,-y+1/2,z+1/2'
loop_
_atom_site_label
_atom_site_type_symbol
_atom_site_fract_x
_atom_site_fract_y
_atom_site_fract_z
Li1 Li 0.101 0.141 0.052
Li2 Li 0.126 0.705 0.721
B1 B 0.118 0.119 0.229
B2 B 0.176 0.655 0.537
H1 H 0.006 0.018 0.664
H2 H 0.025 0.630 0.321
H3 H 0.029 0.657 0.583
H4 H 0.136 0.238 0.275
H5 H 0.180 0.738 0.982
H6 H 0.183 0.545 0.484
H7 H 0.192 0.152 0.594
H8 H 0.218 0.514 0.845
H9 H 0.248 0.611 0.172
N1 N 0.112 0.517 0.795
```